No. 1
VASP calculation (PBE-GGA) on crystalline CeTmPuTl at its relaxed geometry.

Unit cell a=5.3352 b=5.3352 c=5.3352 alpha=60.00 beta=60.00 gamma=60.00
Last column: nearest neighbours and their distance in Å.
Positions (direct):
Tl (0.2500, 0.2500, 0.2500)  4 Tm 3.27, 4 Pu 3.27
Tm (0.0000, 0.0000, 0.0000)  4 Ce 3.27, 4 Tl 3.27
Ce (0.7500, 0.7500, 0.7500)  4 Tm 3.27, 4 Pu 3.27
Pu (0.5000, 0.5000, 0.5000)  4 Tl 3.27, 4 Ce 3.27

Calculated values
VASP energy (eV/f.u.): -26.91
DOS at the Fermi energy (states/eV per atom): 2.10
Total moment (μB/f.u.): 8.419
E_form (kJ per mole of atoms): 5

No. 2
VASP calculation (PBE-GGA) on crystalline Pm4Sm3Y4 at its relaxed geometry.

Unit cell a=3.6073 b=9.4102 c=12.2618 alpha=112.56 beta=98.46 gamma=90.00
Last column: nearest neighbours and their distance in Å.
Positions (direct):
Pm (0.6438, 0.4659, 0.2876)  3 Pm 3.35-3.61, 4 Y 3.47-3.74, 2 Sm 3.61
Pm (0.3562, 0.1783, 0.7124)  3 Pm 3.35-3.61, 4 Y 3.47-3.74, 2 Sm 3.61
Pm (0.3562, 0.5341, 0.7124)  3 Pm 3.35-3.61, 4 Y 3.47-3.74, 2 Sm 3.61
Pm (0.6438, 0.8217, 0.2876)  3 Pm 3.35-3.61, 4 Y 3.47-3.74, 2 Sm 3.61
Sm (0.8911, 0.8911, 0.7821)  6 Y 3.48, 2 Sm 3.61, 4 Pm 3.61
Sm (0.1089, 0.1089, 0.2179)  6 Y 3.48, 2 Sm 3.61, 4 Pm 3.61
Sm (0.0000, 0.5000, 0.0000)  4 Y 3.49, 2 Sm 3.61
Y (0.7419, 0.2419, 0.4837)  2 Sm 3.48, 6 Pm 3.55-3.74, 2 Y 3.61
Y (0.2581, 0.7581, 0.5163)  2 Sm 3.48, 6 Pm 3.55-3.74, 2 Y 3.61
Y (0.5000, 0.8179, 0.0000)  3 Y 3.43-3.61, 2 Pm 3.47, 6 Sm 3.48-3.49
Y (0.5000, 0.1821, 0.0000)  3 Y 3.43-3.61, 2 Pm 3.47, 6 Sm 3.48-3.49

Calculated values
VASP energy (eV/f.u.): -57.61
Relative energy among the computed polymorphs (eV/atom): 0.000
DOS at the Fermi energy (states/eV per atom): 1.50
Total moment (μB/f.u.): 0.000
E_form (kJ per mole of atoms): 12